# 1
## CsCeCo2Cl8 (PBE)

Data for a geometry-optimized CsCeCo2Cl8 structure.

Unit cell a=6.574 b=6.574 c=10.813 alpha=72.30 beta=72.30 gamma=60.00
Atoms (fractional coordinates):
Cl (0.606, 0.283, 0.161)
Cl (0.050, 0.394, 0.839)
Co (0.746, 0.746, 0.763)
Cl (0.818, 0.818, 0.547)
Cl (0.182, 0.182, 0.453)
Cl (0.394, 0.717, 0.839)
Ce (0.000, 0.000, 0.000)
Cl (0.717, 0.050, 0.839)
Cl (0.950, 0.606, 0.161)
Cs (0.500, 0.500, 0.500)
Cl (0.283, 0.950, 0.161)
Co (0.254, 0.254, 0.237)

Computed properties:
Crystal system   trigonal
Uncorrected formation energy   -31.2 kcal/mol of atoms
Energy   -4.332 eV/atom

***

# 2
## PrNd2Sm5Tm (PBE)

Data for a geometry-optimized PrNd2Sm5Tm structure.

Unit cell a=8.847 b=8.847 c=10.085 alpha=116.02 beta=116.02 gamma=90.00
Atoms (fractional coordinates):
Sm (0.428, 0.349, 0.277)
Sm (0.151, 0.072, 0.723)
Sm (0.349, 0.849, 0.277)
Sm (0.651, 0.151, 0.723)
Nd (0.617, 0.117, 0.000)
Tm (0.250, 0.750, 0.500)
Sm (0.928, 0.428, 0.277)
Nd (0.117, 0.383, 0.000)
Tm (0.750, 0.250, 0.500)
Pr (0.250, 0.250, 0.500)
Sm (0.572, 0.651, 0.723)
Sm (0.000, 0.000, 0.000)
Sm (0.500, 0.500, 0.000)
Sm (0.849, 0.928, 0.277)
Nd (0.883, 0.617, 0.000)
Sm (0.072, 0.572, 0.723)
Nd (0.383, 0.883, 0.000)
Pr (0.750, 0.750, 0.500)

Computed properties:
Energy relative to the elements   236 kJ/mol of formula units
Crystal system   tetragonal
Energy   -4.437 eV/atom